Entry 1:
Compound: CePdAu4
Source: the Alexandria database
Functional: PBE
Structure: optimized geometry

Results
DFT formation energy in meV per atom: -439
Excess energy over the best structure of this formula in the dataset in meV per atom: 0
D(E_F) in states/eV per cell: 13.1

Lattice parameters (Å, degrees): 4.967 5.638 8.910 71.56 89.48 88.35
Sites, in units of the cell vectors:
Ce: 0.250 0.621 0.757
Ce: 0.750 0.379 0.243
Au: 0.741 0.800 0.916
Au: 0.259 0.200 0.084
Au: 0.749 0.960 0.583
Au: 0.251 0.040 0.417
Au: 0.241 0.717 0.084
Au: 0.249 0.543 0.417
Au: 0.751 0.457 0.583
Au: 0.759 0.283 0.916
Pd: 0.750 0.871 0.258
Pd: 0.250 0.129 0.742

***

Entry 2:
Compound: Ce4Pd3Au
Source: the Alexandria database
Functional: PBE
Structure: optimized geometry

Results
DFT formation energy in meV per atom: -656
D(E_F) in states/eV per cell: 22.7

Lattice parameters (Å, degrees): 3.831 4.595 11.079 90.00 90.00 90.00
Sites, in units of the cell vectors:
Ce: 0.500 0.000 0.637
Ce: 0.000 0.000 0.141
Ce: 0.000 0.500 0.857
Ce: 0.500 0.500 0.369
Au: 0.500 0.500 0.086
Pd: 0.000 0.500 0.589
Pd: 0.000 0.000 0.412
Pd: 0.500 0.000 0.909

***

Entry 3:
Compound: CePdAu
Source: the Alexandria database
Functional: PBE
Structure: optimized geometry

Results
DFT formation energy in meV per atom: -660
Excess energy over the best structure of this formula in the dataset in meV per atom: 18
D(E_F) in states/eV per cell: 10.9

Lattice parameters (Å, degrees): 5.218 5.322 5.322 120.05 90.00 90.00
Sites, in units of the cell vectors:
Pd: 0.250 0.607 0.795
Pd: 0.750 0.205 0.393
Ce: 0.250 0.292 0.153
Ce: 0.750 0.847 0.708
Au: 0.750 0.531 0.048
Au: 0.250 0.952 0.469

***

Entry 4:
Compound: CePd2Au
Source: the Alexandria database
Functional: PBE
Structure: optimized geometry

Results
DFT formation energy in meV per atom: -685
Excess energy over the best structure of this formula in the dataset in meV per atom: 5
D(E_F) in states/eV per cell: 12.2

Lattice parameters (Å, degrees): 5.360 10.649 5.364 134.30 134.70 66.42
Sites, in units of the cell vectors:
Pd: 0.000 0.000 0.500
Pd: 0.000 0.500 0.500
Pd: 0.253 0.874 0.996
Pd: 0.747 0.126 0.004
Au: 0.753 0.627 0.000
Au: 0.247 0.373 0.000
Ce: 0.490 0.240 0.490
Ce: 0.510 0.760 0.510

***

Entry 5:
Compound: Ce2Pd8Au3
Source: the Alexandria database
Functional: PBE
Structure: optimized geometry

Results
DFT formation energy in meV per atom: -415
D(E_F) in states/eV per cell: 9.6

Lattice parameters (Å, degrees): 8.212 8.332 6.031 133.69 114.77 90.00
Sites, in units of the cell vectors:
Pd: 0.715 0.818 0.184
Pd: 0.285 0.182 0.816
Pd: 0.715 0.366 0.184
Pd: 0.967 0.219 0.438
Pd: 0.253 0.620 0.241
Pd: 0.033 0.781 0.562
Pd: 0.285 0.634 0.816
Pd: 0.747 0.380 0.759
Au: 0.000 0.236 0.000
Au: 0.500 0.000 0.000
Au: 0.000 0.764 0.000
Ce: 0.354 0.235 0.471
Ce: 0.646 0.765 0.529

***

Entry 6:
Compound: CePdAu2
Source: the Alexandria database
Functional: PBE
Structure: optimized geometry

Results
DFT formation energy in meV per atom: -558
D(E_F) in states/eV per cell: 5.1

Lattice parameters (Å, degrees): 4.905 4.905 4.905 60.00 60.00 60.00
Sites, in units of the cell vectors:
Ce: 0.000 0.000 0.000
Au: 0.750 0.750 0.750
Au: 0.250 0.250 0.250
Pd: 0.500 0.500 0.500

***

Entry 7:
Compound: CePd14Au
Source: the Alexandria database
Functional: PBE
Structure: optimized geometry

Results
DFT formation energy in meV per atom: -231
D(E_F) in states/eV per cell: 28.2

Lattice parameters (Å, degrees): 5.695 5.695 7.979 90.00 90.00 90.00
Sites, in units of the cell vectors:
Pd: 0.625 0.625 0.755
Pd: 0.875 0.375 0.500
Pd: 0.125 0.625 0.245
Pd: 0.125 0.125 0.755
Pd: 0.875 0.375 0.000
Pd: 0.625 0.125 0.755
Pd: 0.375 0.875 0.000
Pd: 0.125 0.625 0.755
Pd: 0.875 0.875 0.000
Pd: 0.125 0.125 0.245
Pd: 0.625 0.125 0.245
Pd: 0.375 0.375 0.000
Pd: 0.625 0.625 0.245
Pd: 0.375 0.875 0.500
Au: 0.375 0.375 0.500
Ce: 0.875 0.875 0.500

***

Entry 8:
Compound: CePd2Au
Source: the Alexandria database
Functional: PBE
Structure: optimized geometry

Results
DFT formation energy in meV per atom: -641
Excess energy over the best structure of this formula in the dataset in meV per atom: 50
D(E_F) in states/eV per cell: 7.1

Lattice parameters (Å, degrees): 4.143 4.317 4.317 90.00 90.00 90.00
Sites, in units of the cell vectors:
Pd: 0.000 0.500 0.000
Pd: 0.000 0.000 0.500
Au: 0.500 0.000 0.000
Ce: 0.500 0.500 0.500

***

Entry 9:
Compound: CePdAu
Source: the Alexandria database
Functional: PBE
Structure: optimized geometry

Results
DFT formation energy in meV per atom: -659
Excess energy over the best structure of this formula in the dataset in meV per atom: 19
D(E_F) in states/eV per cell: 9.9

Lattice parameters (Å, degrees): 5.222 4.971 5.480 90.00 119.19 90.00
Sites, in units of the cell vectors:
Pd: 0.165 0.250 0.991
Pd: 0.835 0.750 0.009
Ce: 0.815 0.250 0.294
Ce: 0.185 0.750 0.706
Au: 0.517 0.250 0.662
Au: 0.483 0.750 0.338

***

Entry 10:
Compound: CePd5Au6
Source: the Alexandria database
Functional: PBE
Structure: optimized geometry

Results
DFT formation energy in meV per atom: -272
D(E_F) in states/eV per cell: 9.8

Lattice parameters (Å, degrees): 4.151 8.317 7.722 122.58 105.59 90.00
Sites, in units of the cell vectors:
Au: 0.500 0.271 0.000
Au: 0.170 0.433 0.340
Au: 0.830 0.093 0.660
Au: 0.830 0.567 0.660
Au: 0.500 0.729 0.000
Au: 0.170 0.907 0.340
Pd: 0.327 0.327 0.655
Pd: 0.343 0.843 0.685
Pd: 0.657 0.157 0.315
Pd: 0.673 0.673 0.345
Pd: 0.000 0.500 0.000
Ce: 0.000 0.000 0.000

***

Entry 11:
Compound: Ce3Pd2Au4
Source: the Alexandria database
Functional: PBE
Structure: optimized geometry

Results
DFT formation energy in meV per atom: -673
D(E_F) in states/eV per cell: 35.9

Lattice parameters (Å, degrees): 8.174 8.174 6.787 90.00 90.00 118.49
Sites, in units of the cell vectors:
Au: 0.826 0.844 0.000
Au: 0.510 0.835 0.500
Au: 0.165 0.490 0.000
Au: 0.174 0.156 0.000
Au: 0.835 0.510 0.000
Au: 0.490 0.165 0.500
Au: 0.156 0.174 0.500
Au: 0.844 0.826 0.500
Ce: 0.826 0.174 0.750
Ce: 0.174 0.826 0.250
Ce: 0.826 0.174 0.250
Ce: 0.174 0.826 0.750
Ce: 0.500 0.500 0.250
Ce: 0.500 0.500 0.750
Pd: 0.175 0.518 0.500
Pd: 0.825 0.482 0.500
Pd: 0.482 0.825 0.000
Pd: 0.518 0.175 0.000

***

Entry 12:
Compound: CePdAu
Source: the Alexandria database
Functional: PBE
Structure: optimized geometry

Results
DFT formation energy in meV per atom: -678
Excess energy over the best structure of this formula in the dataset in meV per atom: 0
D(E_F) in states/eV per cell: 10.9

Lattice parameters (Å, degrees): 4.718 4.718 6.788 90.00 90.00 120.00
Sites, in units of the cell vectors:
Au: 0.334 0.166 0.250
Au: 0.666 0.834 0.750
Ce: 0.000 0.500 0.500
Ce: 0.000 0.500 0.000
Pd: 0.333 0.167 0.750
Pd: 0.667 0.833 0.250